1.
Compound: Li3Zr3Te8Au
Source: Alexandria
Functional: PBE-GGA
Structure: relaxed

Unit cell a=13.966 b=8.328 c=8.427 alpha=90.00 beta=123.47 gamma=90.00
Space group C2/m (No. 12)
Symmetry-distinct sites (fractional):
Li1 0.000 0.000 0.000
Li2 0.250 0.250 0.000
Zr1 0.000 0.500 0.500
Zr2 0.250 0.250 0.500
Te1 0.003 0.262 0.249
Te2 0.237 0.000 0.736
Te3 0.248 0.000 0.249
Au1 0.000 0.000 0.500

raw formation energy	-0.7273	eV per atom


2.
Compound: Fe3Re4
Source: Alexandria
Functional: PBE-GGA
Structure: relaxed

Unit cell a=4.6499 b=4.6499 c=4.9304 alpha=90.00 beta=90.00 gamma=120.00
Space group P6/mmm (No. 191)
Symmetry-distinct sites (fractional):
Fe1 0.0000 0.5000 0.0000
Re1 0.0000 0.0000 0.2540
Re2 0.3333 0.6667 0.5000

ΔH_f (0 K)	0.24	eV per formula unit
excess energy over the best structure of this formula in the dataset	0.000	eV per atom


3.
Compound: HoNb3Ge2
Source: Alexandria
Functional: PBE-GGA
Structure: relaxed

Unit cell a=14.698 b=4.394 c=8.562 alpha=90.00 beta=118.91 gamma=90.00
Space group C2/m (No. 12)
Symmetry-distinct sites (fractional):
Ho1 0.145 0.000 0.067
Nb1 0.048 0.000 0.367
Nb2 0.080 0.500 0.668
Nb3 0.186 0.500 0.473
Ge1 0.019 0.500 0.153
Ge2 0.198 0.000 0.719

ΔH_f (0 K)	-2.37	eV per formula unit